Computed, not measured: a relaxed structure of Tl3WF6 at the PBE+U level of DFT.

a = 6.801 Å, b = 6.489 Å, c = 6.489 Å
α = 60.11°, β = 61.48°, γ = 61.48°
Last column: magnetic moment on the atom in μB.
Fractional positions:
Tl  0.275  0.244  0.244  0.00
Tl  0.725  0.756  0.756  0.00
Tl  0.000  0.000  0.000  0.00
F  0.816  0.293  0.293  0.02
F  0.638  0.799  0.343  0.02
F  0.362  0.201  0.657  0.02
F  0.184  0.707  0.707  0.02
F  0.638  0.343  0.799  0.02
F  0.362  0.657  0.201  0.02
W  0.500  0.500  0.500  2.81

Results
Excess energy over the best structure of this formula in the dataset: 0 meV per atom
Calculated density: 7.31 g/cm3
Space-group type: C2/m, No. 12
Crystal system: monoclinic